# 1
Rb2LiSiAs2 | PBE | optimized geometry

Properties
The space group is Ibam. The density comes out at 3.51 g cm⁻³. The uncorrected formation energy is -0.37 eV/atom.

a b c (Å): 6.5533 6.4988 9.1609
angles (deg): 110.78 110.96 90.00
Positions (direct):
As (0.6419, 0.4179, 0.8358)
As (0.3581, 0.5821, 0.1642)
As (0.1939, 0.9179, 0.8358)
As (0.8061, 0.0821, 0.1642)
Li (0.0000, 0.2500, 0.0000)
Li (0.0000, 0.7500, 0.0000)
Rb (0.0628, 0.3298, 0.6596)
Rb (0.5968, 0.8298, 0.6596)
Rb (0.9372, 0.6702, 0.3404)
Rb (0.4032, 0.1702, 0.3404)
Si (0.5000, 0.7500, 0.0000)
Si (0.5000, 0.2500, 0.0000)

# 2
RbLiSiAs2 | PBE | optimized geometry

Properties
The space group is C2/m. The density comes out at 3.56 g cm⁻³. The uncorrected formation energy is -0.43 eV/atom.

a b c (Å): 3.9828 7.0647 9.6948
angles (deg): 77.50 78.15 73.63
Positions (direct):
Rb (0.1769, 0.2834, 0.3628)
Rb (0.8231, 0.7166, 0.6372)
As (0.8512, 0.2329, 0.0648)
As (0.1488, 0.7671, 0.9352)
As (0.5390, 0.2300, 0.6920)
As (0.4610, 0.7700, 0.3080)
Li (0.6535, 0.6196, 0.0734)
Li (0.3465, 0.3804, 0.9266)
Si (0.0230, 0.1147, 0.8393)
Si (0.9770, 0.8853, 0.1607)

# 3
Rb2LiSnAs2 | PBE | optimized geometry

Properties
The space group is Ibam. The density comes out at 3.98 g cm⁻³. The energy relative to the elements comes out at -0.4330 eV per atom.

a b c (Å): 6.7408 6.8888 9.3607
angles (deg): 111.59 111.10 90.00
Positions (direct):
Sn (0.5000, 0.7500, 0.0000)
Sn (0.5000, 0.2500, 0.0000)
Rb (0.4108, 0.1732, 0.3464)
Rb (0.5892, 0.8268, 0.6536)
Rb (0.0644, 0.3268, 0.6536)
Rb (0.9356, 0.6732, 0.3464)
As (0.3409, 0.5925, 0.1850)
As (0.8441, 0.0925, 0.1850)
As (0.1559, 0.9075, 0.8150)
As (0.6591, 0.4075, 0.8150)
Li (0.0000, 0.7500, 0.0000)
Li (0.0000, 0.2500, 0.0000)

# 4
RbLiTeAs2 | PBE | optimized geometry

Properties
The space group is P4/mmm. The density comes out at 3.72 g cm⁻³. The uncorrected formation energy is 1.10 eV/atom.

a b c (Å): 5.7520 4.9906 5.7520
angles (deg): 90.00 90.00 90.00
Positions (direct):
Li (0.0000, 0.5000, 0.0000)
Te (0.5000, 0.5000, 0.5000)
As (0.0000, 0.0000, 0.5000)
As (0.5000, 0.0000, 0.0000)
Rb (0.0000, 0.0000, 0.0000)

# 5
RbLiTlAs | PBE | optimized geometry

Properties
The space group is R3m. The density comes out at 4.99 g cm⁻³. The energy relative to the elements comes out at -0.4055 eV per atom.

a b c (Å): 4.4922 4.4930 7.5329
angles (deg): 107.36 90.00 119.99
Positions (direct):
Tl (0.8297, 0.6595, 0.1314)
Rb (0.6315, 0.2630, 0.5369)
As (0.0835, 0.1669, 0.8924)
Li (0.4216, 0.8432, 0.9067)

# 6
RbLi2VAs | PBE | optimized geometry

Properties
The space group is P4/mmm. The density comes out at 2.63 g cm⁻³. The energy relative to the elements comes out at 0.1964 eV per atom.

a b c (Å): 5.4231 4.8267 5.4231
angles (deg): 90.00 90.00 90.00
Site moments in Bohr magnetons follow the coordinates.
Positions (direct):
As (0.0000, 0.5000, 0.0000)  -0.14
Li (0.0000, 0.0000, 0.5000)  0.07
Li (0.5000, 0.0000, 0.0000)  0.11
V (0.0000, 0.0000, 0.0000)  2.56
Rb (0.5000, 0.5000, 0.5000)  0.02

# 7
RbLi2ZnAs | PBE | optimized geometry

Properties
The space group is P4/mmm. The density comes out at 2.62 g cm⁻³. The energy relative to the elements comes out at 0.3494 eV per atom.

a b c (Å): 5.0659 5.0659 5.9275
angles (deg): 90.00 90.00 90.00
Site moments in Bohr magnetons follow the coordinates.
Positions (direct):
Li (0.5000, 0.0000, 0.0000)  0.01
Li (0.0000, 0.5000, 0.0000)  0.01
Zn (0.0000, 0.0000, 0.0000)  0.02
Rb (0.0000, 0.0000, 0.5000)  0.00
As (0.5000, 0.5000, 0.5000)  -0.07

# 8
Rb2LiZnAs2 | PBE | optimized geometry

Properties
The space group is Ibam. The density comes out at 3.89 g cm⁻³. The energy relative to the elements comes out at -0.4276 eV per atom.

a b c (Å): 6.4736 6.5030 9.1922
angles (deg): 110.72 110.62 90.00
Positions (direct):
Zn (0.5000, 0.2500, 0.0000)
Zn (0.5000, 0.7500, 0.0000)
Li (0.0000, 0.2500, 0.0000)
Li (0.0000, 0.7500, 0.0000)
Rb (0.9277, 0.6683, 0.3366)
Rb (0.0723, 0.3317, 0.6634)
Rb (0.5911, 0.8317, 0.6634)
Rb (0.4089, 0.1683, 0.3366)
As (0.1834, 0.9158, 0.8317)
As (0.8166, 0.0842, 0.1683)
As (0.3517, 0.5842, 0.1683)
As (0.6483, 0.4158, 0.8317)